Entry 1:
The following is a DFT calculation (PBE) of crystalline Cd4Cl5 at its relaxed geometry.

Cell: 6.687 6.970 6.970 Å, 76.70 61.33 61.33°
Element x y z (fractional)
Cd 0.000 0.667 0.333
Cd 0.000 0.333 0.667
Cd 0.667 0.333 0.333
Cd 0.333 0.667 0.667
Cl 0.000 0.000 0.000
Cl 0.706 0.000 0.589
Cl 0.706 0.589 0.000
Cl 0.294 0.411 0.000
Cl 0.294 0.000 0.411

For the calculated total energy, the calculation gives -2.065 eV/atom. As for the space-group type: I4/mmm, No. 139. The excess energy over the best structure of this formula in the dataset is 0 meV per atom. The calculation puts the uncorrected formation energy at -549 kJ/mol of formula units.

=====

Entry 2:
The following is a DFT calculation (PBE) of crystalline CdCl3 at its relaxed geometry.

Cell: 10.623 10.623 10.623 Å, 20.64 20.64 20.64°
Last column: magnetic moment on the atom in μB.
Element x y z (fractional)
Cl 0.000 0.000 0.000  0.73
Cl 0.881 0.881 0.881  0.01
Cl 0.119 0.119 0.119  0.01
Cd 0.500 0.500 0.500  0.00

For the calculated total energy, the calculation gives -2.119 eV/atom. As for the space-group type: R-3m, No. 166. The calculation puts the uncorrected formation energy at -195 kJ/mol of formula units.

=====

Entry 3:
The following is a DFT calculation (PBE) of crystalline Cd5Cl3 at its relaxed geometry.

Cell: 7.403 7.403 3.962 Å, 90.00 90.00 110.14°
Element x y z (fractional)
Cd 0.000 0.000 0.000
Cd 0.000 0.500 0.000
Cd 0.500 0.000 0.000
Cd 0.258 0.258 0.500
Cd 0.742 0.742 0.500
Cl 0.500 0.500 0.000
Cl 0.742 0.258 0.500
Cl 0.258 0.742 0.500

For the calculated total energy, the calculation gives -1.571 eV/atom. As for the space-group type: Cmmm, No. 65. The excess energy over the best structure of this formula in the dataset is 125 meV per atom. The calculation puts the uncorrected formation energy at -237 kJ/mol of formula units.

=====

Entry 4:
The following is a DFT calculation (PBE) of crystalline CdCl6 at its relaxed geometry.

Cell: 7.692 7.692 8.196 Å, 90.00 90.00 83.11°
Element x y z (fractional)
Cd 0.000 0.000 0.000
Cl 0.000 0.000 0.279
Cl 0.000 0.000 0.721
Cl 0.473 0.877 0.000
Cl 0.527 0.123 0.000
Cl 0.877 0.473 0.000
Cl 0.123 0.527 0.000

For the calculated total energy, the calculation gives -1.993 eV/atom. As for the space-group type: Cmmm, No. 65. The calculation puts the uncorrected formation energy at -189 kJ/mol of formula units.

=====

Entry 5:
The following is a DFT calculation (PBE) of crystalline Cd3Cl at its relaxed geometry.

Cell: 5.475 5.475 3.112 Å, 90.00 90.00 90.00°
Element x y z (fractional)
Cl 0.000 0.500 0.500
Cd 0.000 0.000 0.000
Cd 0.500 0.000 0.500
Cd 0.500 0.500 0.000

For the calculated total energy, the calculation gives -1.317 eV/atom. As for the space-group type: P4/mmm, No. 123. The calculation puts the uncorrected formation energy at -65 kJ/mol of formula units.

=====

Entry 6:
The following is a DFT calculation (PBE) of crystalline CdCl3 at its relaxed geometry.

Cell: 6.665 6.665 6.665 Å, 147.62 133.37 57.91°
Last column: magnetic moment on the atom in μB.
Element x y z (fractional)
Cl 0.845 0.345 0.500  0.20
Cl 0.500 0.500 0.000  0.42
Cl 0.155 0.655 0.500  0.20
Cd 0.000 0.000 0.000  -0.01

For the calculated total energy, the calculation gives -2.090 eV/atom. As for the space-group type: Immm, No. 71. The calculation puts the uncorrected formation energy at -184 kJ/mol of formula units.

=====

Entry 7:
The following is a DFT calculation (PBE) of crystalline Cd3Cl at its relaxed geometry.

Cell: 5.261 5.261 5.261 Å, 60.00 60.00 60.00°
Element x y z (fractional)
Cl 0.750 0.750 0.750
Cd 0.000 0.000 0.000
Cd 0.250 0.250 0.250
Cd 0.500 0.500 0.500

For the calculated total energy, the calculation gives -1.222 eV/atom. As for the space-group type: Fm-3m, No. 225. The calculation puts the uncorrected formation energy at -29 kJ/mol of formula units.

=====

Entry 8:
The following is a DFT calculation (PBE) of crystalline Cd3Cl at its relaxed geometry.

Cell: 3.684 3.684 8.444 Å, 90.00 90.00 120.00°
Element x y z (fractional)
Cl 0.667 0.333 0.750
Cd 0.000 0.000 0.999
Cd 0.000 0.000 0.501
Cd 0.667 0.333 0.250

For the calculated total energy, the calculation gives -1.401 eV/atom. As for the space-group type: P-6m2, No. 187. The calculation puts the uncorrected formation energy at -98 kJ/mol of formula units.

=====

Entry 9:
The following is a DFT calculation (PBE) of crystalline CdCl at its relaxed geometry.

Cell: 4.628 4.628 4.628 Å, 60.00 60.00 60.00°
Element x y z (fractional)
Cl 0.750 0.750 0.750
Cd 0.000 0.000 0.000

For the calculated total energy, the calculation gives -1.754 eV/atom. As for the space-group type: F-43m, No. 216. The calculation puts the uncorrected formation energy at -72 kJ/mol of formula units.

=====

Entry 10:
The following is a DFT calculation (PBE) of crystalline CdCl at its relaxed geometry.

Cell: 3.627 3.627 3.630 Å, 90.00 90.00 90.00°
Element x y z (fractional)
Cl 0.500 0.500 0.500
Cd 0.000 0.000 0.000

For the calculated total energy, the calculation gives -1.673 eV/atom. As for the space-group type: Pm-3m, No. 221. The calculation puts the uncorrected formation energy at -56 kJ/mol of formula units.

=====

Entry 11:
The following is a DFT calculation (PBE) of crystalline CdCl at its relaxed geometry.

Cell: 4.059 9.869 8.792 Å, 90.00 90.00 90.00°
Element x y z (fractional)
Cd 0.000 0.278 0.889
Cd 0.000 0.722 0.889
Cd 0.000 0.778 0.389
Cd 0.000 0.222 0.389
Cd 0.000 0.000 0.822
Cd 0.000 0.500 0.322
Cl 0.500 0.810 0.580
Cl 0.500 0.190 0.580
Cl 0.500 0.310 0.080
Cl 0.500 0.690 0.080
Cl 0.000 0.000 0.242
Cl 0.000 0.500 0.742

For the calculated total energy, the calculation gives -2.008 eV/atom. As for the space-group type: Amm2, No. 38. The calculation puts the uncorrected formation energy at -121 kJ/mol of formula units.

=====

Entry 12:
The following is a DFT calculation (PBE) of crystalline CdCl3 at its relaxed geometry.

Cell: 8.521 8.521 3.635 Å, 90.00 90.00 120.00°
Last column: magnetic moment on the atom in μB.
Element x y z (fractional)
Cd 0.333 0.667 0.250  0.01
Cd 0.667 0.333 0.750  0.01
Cl 0.799 0.598 0.250  0.27
Cl 0.402 0.201 0.250  0.27
Cl 0.799 0.201 0.250  0.27
Cl 0.201 0.402 0.750  0.27
Cl 0.598 0.799 0.750  0.27
Cl 0.201 0.799 0.750  0.27

For the calculated total energy, the calculation gives -2.106 eV/atom. As for the space-group type: P6_3/mmc, No. 194. The calculation puts the uncorrected formation energy at -190 kJ/mol of formula units.

=====

Entry 13:
The following is a DFT calculation (PBE) of crystalline Cd5Cl at its relaxed geometry.

Cell: 6.153 6.153 4.868 Å, 90.00 90.00 120.00°
Element x y z (fractional)
Cd 0.333 0.667 0.000
Cd 0.667 0.333 0.000
Cd 0.500 0.000 0.500
Cd 0.000 0.500 0.500
Cd 0.500 0.500 0.500
Cl 0.000 0.000 0.000

For the calculated total energy, the calculation gives -1.120 eV/atom. As for the space-group type: P6/mmm, No. 191. The excess energy over the best structure of this formula in the dataset is 95 meV per atom. The calculation puts the uncorrected formation energy at -29 kJ/mol of formula units.

=====

Entry 14:
The following is a DFT calculation (PBE) of crystalline Cd5Cl at its relaxed geometry.

Cell: 5.947 5.947 5.947 Å, 60.00 60.00 60.00°
Element x y z (fractional)
Cd 0.250 0.250 0.250
Cd 0.624 0.624 0.624
Cd 0.624 0.624 0.127
Cd 0.127 0.624 0.624
Cd 0.624 0.127 0.624
Cl 0.000 0.000 0.000

For the calculated total energy, the calculation gives -1.100 eV/atom. As for the space-group type: F-43m, No. 216. The excess energy over the best structure of this formula in the dataset is 116 meV per atom. The calculation puts the uncorrected formation energy at -17 kJ/mol of formula units.